Computed, not measured: a relaxed structure of Na2CeZrTe4 at the PBE level of DFT.

abc: 7.4899 4.3189 8.0888
angles: 90.00 107.89 90.00
With the nearest neighbours (Å) after each atom.
Space group P2/m (No. 10)
Asymmetric unit:
Na1 0.0000 0.0000 0.0000  6 Te 3.30-3.31
Na2 0.5000 0.5000 0.0000  6 Te 3.17
Ce1 0.0000 0.5000 0.5000  6 Te 3.14
Zr1 0.5000 0.0000 0.5000  6 Te 2.99-3.00
Te1 0.2623 0.0000 0.7372  1 Zr 2.99, 2 Ce 3.14, 3 Na 3.17-3.31
Te2 0.2728 0.5000 0.2722  2 Zr 3.00, 1 Ce 3.14, 3 Na 3.17-3.30

Spin magnetization ... 1.8 μB per cell
Formation energy without anion corrections ... -1061 meV/atom
Theoretical density ... 5.253 Mg/m³
D(E_F) ... 8.507 states/eV/f.u.
Raw total energy ... -4.7715 eV/atom